Entry 1:
Density functional theory data (PBE) for an optimized crystal structure of CePm3Pr2Y6.

```
CePm3Pr2Y6
1.0
6.280 -0.001 0.014
-3.139 5.440 0.014
-1.072 -1.855 11.686
Ce Pm Pr Y
1 3 2 6
Direct
0.000 0.000 0.000
0.167 0.833 0.500
0.833 0.167 0.500
0.500 0.500 0.500
0.333 0.667 0.000
0.667 0.333 0.000
0.917 0.586 0.750
0.752 0.752 0.250
0.083 0.414 0.250
0.586 0.917 0.750
0.248 0.248 0.750
0.414 0.083 0.250
```

## Properties
Volume = 399.53 Å³/cell
E_form = 0.4 eV per formula unit
Total moment = 1.1 Bohr magnetons per cell
Density = 5.8 g/cm3



Entry 2:
Density functional theory data (PBE) for an optimized crystal structure of CePmPr6Y2.

```
CePmPr6Y2
1.0
-6.170 -6.454 1.056
3.439 -4.058 -4.707
2.173 0.733 6.314
Ce Pm Pr Y
1 1 6 2
Direct
0.000 0.500 0.000
0.500 0.000 0.000
0.418 0.630 0.261
0.202 0.067 0.664
0.798 0.403 0.336
0.202 0.597 0.664
0.798 0.933 0.336
0.582 0.370 0.739
0.159 0.095 0.190
0.841 0.905 0.810
```

## Properties
Volume = 354.87 Å³/cell
E_form = 2.3 eV per formula unit
Total moment = 1.3 Bohr magnetons per cell
Density = 6.1 g/cm3